[1]
This record from Alexandria via LeMat-Bulk describes YBe2 after structural relaxation. The functional is GGA-PBE.

The structure belongs to space group P-62m (No. 189); the cell edges are 6.3049, 6.3049 and 4.5308 Å and the angles 90.00°, 90.00° and 120.00°. Symmetry generates all atoms from Y at (0.0000, 0.0000, 0.0000), Y at (0.3333, 0.6667, 0.5000), Be at (0.0000, 0.2060, 0.5000) and Be at (0.0000, 0.4431, 0.0000).

For the volume, the calculation gives 156 Å³/cell. The density of states at the Fermi level is 1.3 states/eV/f.u. The value obtained for the total energy is -4.28 eV per atom. The value obtained for the energy of formation from the pure elements is 1.1 eV per formula unit.

---

[2]
This record from Alexandria via LeMat-Bulk describes Dy2SiSe6 after structural relaxation. The functional is GGA-PBE.

The structure belongs to space group P2_1/c (No. 14); the cell edges are 6.8307, 7.4584 and 10.7800 Å and the angles 90.00°, 127.30° and 90.00°. Symmetry generates all atoms from Dy at (0.2154, 0.1128, 0.2440), Si at (0.5000, 0.0000, 0.0000), Se at (0.1325, 0.1729, 0.9346), Se at (0.2733, 0.7052, 0.9413) and Se at (0.3874, 0.0375, 0.7428).

Its uncorrected formation energy is -22.6 kcal/mol of atoms. For the volume, the calculation gives 437 Å³/cell. The density of states at the Fermi level is 7.4 states/eV/f.u. The value obtained for the total energy is -4.93 eV per atom.

---

[3]
This record from Alexandria via LeMat-Bulk describes PuTc2B2 after structural relaxation. The functional is GGA-PBE.

The structure belongs to space group P2_1/m (No. 11); the cell edges are 4.2876, 3.1591 and 9.7925 Å and the angles 90.00°, 95.67° and 90.00°. Symmetry generates all atoms from Pu at (0.1937, 0.2500, 0.2433), Tc at (0.2486, 0.7500, 0.4951), Tc at (0.3514, 0.2500, 0.9037), B at (0.1206, 0.7500, 0.0165) and B at (0.2827, 0.2500, 0.6558).

For the volume, the calculation gives 132 Å³/cell. The density of states at the Fermi level is 6.4 states/eV/f.u. The value obtained for the total energy is -9.91 eV per atom. The value obtained for the energy of formation from the pure elements is -1.1 eV per formula unit.

---

[4]
This record from Alexandria via LeMat-Bulk describes Pr6ScSn10 after structural relaxation. The functional is GGA-PBE.

The structure belongs to space group P-31m (No. 162); the cell edges are 9.4325, 9.4325 and 6.3913 Å and the angles 90.00°, 90.00° and 120.00°. Symmetry generates all atoms from Pr at (0.0000, 0.3907, 0.2372), Sc at (0.0000, 0.0000, 0.0000), Sn at (0.0000, 0.2363, 0.6913), Sn at (0.3333, 0.6667, 0.0000) and Sn at (0.3333, 0.6667, 0.5000).

For the volume, the calculation gives 492 Å³/cell. The density of states at the Fermi level is 12.2 states/eV/f.u. The value obtained for the total energy is -4.99 eV per atom. The value obtained for the energy of formation from the pure elements is -9.7 eV per formula unit.

---

[5]
This record from Alexandria via LeMat-Bulk describes BaHg2P after structural relaxation. The functional is GGA-PBE.

The structure belongs to space group Pmmm (No. 47); the cell edges are 4.5668, 4.5820 and 5.5153 Å and the angles 90.00°, 90.00° and 90.00°. Symmetry generates all atoms from Ba at (0.0000, 0.0000, 0.0000), Hg at (0.0000, 0.5000, 0.5000), Hg at (0.5000, 0.0000, 0.5000) and P at (0.5000, 0.5000, 0.0000).

For the volume, the calculation gives 115 Å³/cell. The density of states at the Fermi level is 3.1 states/eV/f.u. The value obtained for the total energy is -2.26 eV per atom. The value obtained for the energy of formation from the pure elements is -1.1 eV per formula unit.

---

[6]
This record from Alexandria via LeMat-Bulk describes HoGa4IrPd2 after structural relaxation. The functional is GGA-PBE.

The structure belongs to space group R-3m (No. 166, hexagonal axes); the cell edges are 4.2846, 4.2846 and 25.9325 Å and the angles 90.00°, 90.00° and 120.00°. Symmetry generates all atoms from Ho at (0.0000, 0.0000, 0.0000), Ga at (0.0000, 0.0000, 0.1332), Ga at (0.0000, 0.0000, 0.3974), Ir at (0.0000, 0.0000, 0.5000) and Pd at (0.0000, 0.0000, 0.2402).

For the volume, the calculation gives 412 Å³/cell. The density of states at the Fermi level is 5.4 states/eV/f.u. The value obtained for the total energy is -5.07 eV per atom. The value obtained for the energy of formation from the pure elements is -4.7 eV per formula unit.

---

[7]
This record from Alexandria via LeMat-Bulk describes BWI2 after structural relaxation. The functional is GGA-PBE.

The structure belongs to space group I-42d (No. 122); the cell edges are 5.9522, 5.9522 and 11.3635 Å and the angles 90.00°, 90.00° and 90.00°. Symmetry generates all atoms from B at (0.0000, 0.0000, 0.0000), W at (0.0000, 0.0000, 0.5000) and I at (0.2290, 0.2500, 0.1250).

Its uncorrected formation energy is 43.6 kcal/mol of atoms. For the volume, the calculation gives 403 Å³/cell. The density of states at the Fermi level is 2.7 states/eV/f.u. The value obtained for the total energy is -3.79 eV per atom. The energy above the most stable polymorph in this dataset is 122 meV/atom.

---

[8]
This record from Alexandria via LeMat-Bulk describes K3LiAl after structural relaxation. The functional is GGA-PBE.

The structure belongs to space group Pm-3m (No. 221); the cell edges are 6.7214, 6.7214 and 6.7214 Å and the angles 90.00°, 90.00° and 90.00°. Symmetry generates all atoms from K at (0.0000, 0.0000, 0.5000), Li at (0.5000, 0.5000, 0.5000) and Al at (0.0000, 0.0000, 0.0000).

For the volume, the calculation gives 304 Å³/cell. The density of states at the Fermi level is 5.9 states/eV/f.u. The value obtained for the total energy is -1.34 eV per atom. The energy above the most stable polymorph in this dataset is 0 meV/atom. The value obtained for the energy of formation from the pure elements is 2.2 eV per formula unit.

---

[9]
This record from Alexandria via LeMat-Bulk describes Nd3Mg2Zn3 after structural relaxation. The functional is GGA-PBE.

The structure belongs to space group Immm (No. 71); the cell edges are 3.6969, 5.2367 and 20.5125 Å and the angles 90.00°, 90.00° and 90.00°. Symmetry generates all atoms from Nd at (0.0000, 0.0000, 0.0000), Nd at (0.0000, 0.5000, 0.1240), Mg at (0.0000, 0.0000, 0.2330), Zn at (0.0000, 0.0000, 0.5000) and Zn at (0.0000, 0.5000, 0.3752).

For the volume, the calculation gives 397 Å³/cell. The density of states at the Fermi level is 6.9 states/eV/f.u. The value obtained for the total energy is -2.87 eV per atom. The value obtained for the energy of formation from the pure elements is -1.6 eV per formula unit.

---

[10]
This record from Alexandria via LeMat-Bulk describes CsKTe2Ir after structural relaxation. The functional is GGA-PBE.

The structure belongs to space group P4/mmm (No. 123); the cell edges are 5.4042, 5.4042 and 5.9870 Å and the angles 90.00°, 90.00° and 90.00°. Symmetry generates all atoms from Cs at (0.0000, 0.0000, 0.0000), K at (0.5000, 0.5000, 0.0000), Te at (0.0000, 0.5000, 0.5000) and Ir at (0.5000, 0.5000, 0.5000).

Its uncorrected formation energy is -3.8 kcal/mol of atoms. For the volume, the calculation gives 175 Å³/cell. The density of states at the Fermi level is 6.5 states/eV/f.u. The value obtained for the total energy is -3.58 eV per atom.

---

[11]
This record from Alexandria via LeMat-Bulk describes LiLaNdTe3 after structural relaxation. The functional is GGA-PBE.

The structure belongs to space group P2_1/m (No. 11); the cell edges are 9.2430, 4.3717 and 9.6892 Å and the angles 90.00°, 103.36° and 90.00°. Symmetry generates all atoms from Li at (0.0860, 0.2500, 0.0865), La at (0.1844, 0.2500, 0.7290), Nd at (0.3349, 0.7500, 0.3423), Te at (0.0908, 0.2500, 0.3727), Te at (0.2223, 0.7500, 0.9992) and Te at (0.4271, 0.7500, 0.6816).

Its uncorrected formation energy is -31.8 kcal/mol of atoms. For the volume, the calculation gives 381 Å³/cell. The density of states at the Fermi level is 3.1 states/eV/f.u. The value obtained for the total energy is -4.88 eV per atom.

---

[12]
This record from Alexandria via LeMat-Bulk describes ErPaP2N6 after structural relaxation. The functional is GGA-PBE.

The structure belongs to space group C2/c (No. 15); the cell edges are 10.0058, 9.4645 and 5.4013 Å and the angles 90.00°, 104.85° and 90.00°. Symmetry generates all atoms from Er at (0.0000, 0.0939, 0.2500), Pa at (0.0000, 0.3170, 0.7500), P at (0.2112, 0.4115, 0.2542), N at (0.1224, 0.2739, 0.1347), N at (0.1233, 0.1095, 0.6677) and N at (0.1529, 0.4694, 0.5067).

Its uncorrected formation energy is -24.7 kcal/mol of atoms. For the volume, the calculation gives 494 Å³/cell. The density of states at the Fermi level is 0.0 states/eV/f.u. The value obtained for the total energy is -8.55 eV per atom.

---

Q: What is the formula in the third record?
A: PuTc2B2